No. 1
Material: RbTmW2O8
Method: DFT, PBEsol
State: relaxed

Calculated values
symmetry: P-3m1 (164)
VASP energy: -8.7941 eV per atom
E_form (uncorrected): -2500 meV/atom
total magnetic moment: 0.001 μB per cell

Lattice parameters (Å, degrees): 5.952 5.952 7.625 90.00 90.00 120.00
Sites, in units of the cell vectors:
O1 0.832 0.664 0.176
O2 0.333 0.667 0.519
Tm1 0.000 0.000 0.000
O3 0.168 0.336 0.824
W1 0.333 0.667 0.749
O4 0.336 0.168 0.176
O5 0.832 0.168 0.176
W2 0.667 0.333 0.251
O6 0.667 0.333 0.481
Rb1 0.000 0.000 0.500
O7 0.664 0.832 0.824
O8 0.168 0.832 0.824

---

No. 2
Material: YMg2Rh
Method: DFT, PBEsol
State: relaxed

Calculated values
symmetry: Fm-3m (225)
VASP energy: -4.7606 eV per atom
total magnetic moment: 0.000 μB per cell
formation enthalpy at 0 K: -0.162 eV/atom

Lattice parameters (Å, degrees): 4.764 4.764 4.764 60.00 60.00 60.00
Sites, in units of the cell vectors:
Mg1 0.750 0.750 0.750
Y1 0.500 0.500 0.500
Rh1 0.000 0.000 0.000
Mg2 0.250 0.250 0.250

---

No. 3
Material: Li2ZrTa
Method: DFT, PBEsol
State: relaxed

Calculated values
symmetry: Imm2 (44)
VASP energy: -5.9769 eV per atom
E above lowest polymorph: 50 meV per atom
total magnetic moment: 0.000 μB per cell
formation enthalpy at 0 K: 0.417 eV/atom

Lattice parameters (Å, degrees): 2.851 5.104 5.505 117.61 105.01 90.00
Sites, in units of the cell vectors:
Li1 0.023 0.023 0.047
Li2 0.728 0.228 0.457
Zr1 0.256 0.756 0.511
Ta1 0.493 0.493 0.985

---

No. 4
Material: LiMnPO4
Method: DFT, PBEsol
State: relaxed

Calculated values
symmetry: Pc (7)
VASP energy: -7.5548 eV per atom
E above lowest polymorph: 20 meV per atom
E_form (uncorrected): -2052 meV/atom
total magnetic moment: 20.000 μB per cell

Lattice parameters (Å, degrees): 5.416 7.888 8.301 105.60 90.00 90.00
Site moments in Bohr magnetons follow the coordinates.
Sites, in units of the cell vectors:
O1 0.842 0.888 0.986  0.04
O2 0.202 0.218 0.174  0.05
Li1 0.657 0.502 0.290  0.00
Li2 0.842 0.967 0.568  0.00
O3 0.158 0.888 0.486  0.04
O4 0.704 0.808 0.682  0.04
P1 0.342 0.246 0.020  0.03
Mn1 0.158 0.372 0.407  4.40
Li3 0.158 0.967 0.068  0.00
Mn2 0.660 0.866 0.188  4.41
O5 0.106 0.688 0.763  0.05
O6 0.603 0.320 0.071  0.04
O7 0.798 0.218 0.674  0.05
P2 0.164 0.741 0.318  0.02
P3 0.836 0.741 0.818  0.02
O8 0.655 0.060 0.398  0.05
P4 0.658 0.246 0.520  0.03
Mn3 0.340 0.866 0.688  4.41
O9 0.397 0.320 0.571  0.04
O10 0.894 0.688 0.263  0.05
O11 0.795 0.378 0.442  0.04
Mn4 0.842 0.372 0.907  4.40
O12 0.687 0.585 0.849  0.05
O13 0.313 0.585 0.349  0.05
O14 0.345 0.060 0.898  0.05
O15 0.296 0.808 0.182  0.04
Li4 0.343 0.502 0.790  0.00
O16 0.205 0.378 0.942  0.04

---

No. 5
Material: Tc2HgPb
Method: DFT, PBEsol
State: relaxed

Calculated values
symmetry: R3m (160)
VASP energy: -6.3399 eV per atom
E above lowest polymorph: 0 meV per atom
total magnetic moment: 0.000 μB per cell
formation enthalpy at 0 K: 0.435 eV/atom

Lattice parameters (Å, degrees): 2.974 2.974 9.935 81.39 81.39 60.00
Sites, in units of the cell vectors:
Tc1 0.010 0.010 0.969
Tc2 0.741 0.741 0.777
Pb1 0.259 0.259 0.223
Hg1 0.490 0.490 0.531

---

No. 6
Material: Co2AgTe
Method: DFT, PBEsol
State: relaxed

Calculated values
symmetry: I-4m2 (119)
VASP energy: -5.1408 eV per atom
E_form (uncorrected): 437 meV/atom
total magnetic moment: 2.432 μB per cell

Lattice parameters (Å, degrees): 3.768 3.768 4.919 112.52 112.52 90.00
Site moments in Bohr magnetons follow the coordinates.
Sites, in units of the cell vectors:
Te1 0.500 0.500 0.000  0.02
Ag1 0.250 0.750 0.500  -0.01
Co1 0.750 0.250 0.500  1.37
Co2 0.000 0.000 0.000  1.12